Record 1
A plane-wave DFT calculation with PBE was carried out for a relaxed SmRhO4 crystal.

```
12
Lattice="3.6006 -4.3781 0.0000 3.6006 4.3781 0.0000 -2.5942 0.0000 5.5058" Properties=species:S:1:pos:R:3 pbc="T T T"
Sm 1.6549 3.2475 4.1293
Sm 2.9520 -3.2475 1.3764
Rh 2.9520 0.0612 1.3764
Rh 1.6549 -0.0612 4.1293
O 1.2211 0.0593 0.5429
O -0.0760 -0.0593 3.2958
O 2.1534 1.3261 2.7700
O 1.1565 1.3261 5.4887
O 3.4505 -1.3261 0.0171
O 2.4536 -1.3261 2.7358
O 4.6830 0.0593 2.2100
O 3.3859 -0.0593 4.9629
```

The calculation puts the total moment at 2.03 μB/f.u. The calculated total energy comes out at -7.042 eV per atom. As for the density of states at the Fermi level: 0.037 states/eV/atom.

---

Record 2
A plane-wave DFT calculation with PBE was carried out for a relaxed Sm5Rh2O12 crystal.

```
19
Lattice="6.3114 -3.0197 0.0000 6.3114 3.0197 0.0000 -2.2107 0.0000 7.1329" Properties=species:S:1:pos:R:3 pbc="T T T"
Sm 0.0000 0.0000 0.0000
Sm 3.5231 0.0000 1.0076
Sm 2.4114 0.0000 4.7666
Sm 8.0007 0.0000 2.3664
Sm 6.8890 0.0000 6.1254
Rh 5.2061 1.5336 3.5665
Rh 5.2061 -1.5336 3.5665
O 11.9038 0.0000 2.3018
O -1.4917 0.0000 4.8311
O 2.3354 1.5151 6.5954
O 3.3248 1.4301 2.9820
O 8.0767 1.5151 0.5376
O 7.0873 1.4301 4.1509
O 5.6102 0.0000 2.2663
O 4.8020 0.0000 4.8666
O 3.3248 -1.4301 2.9820
O 2.3354 -1.5151 6.5954
O 7.0873 -1.4301 4.1509
O 8.0767 -1.5151 0.5376
```

The calculation puts the total moment at 3.07 μB/f.u. The calculated total energy comes out at -7.691 eV per atom. As for the density of states at the Fermi level: 0.337 states/eV/atom.